(1)
RbCaZnO2 (PBE, relaxed); symmetry = P2/c (13)
1.0
6.055 0.000 0.000
0.000 7.364 2.597
0.000 0.569 6.801
Rb Ca Zn O
2 2 2 4
direct
0.226 0.500 0.750
0.774 0.500 0.250
0.499 0.000 0.250
0.501 0.000 0.750
0.000 0.000 0.000
0.000 0.000 0.500
0.724 0.898 0.049
0.724 0.102 0.451
0.276 0.898 0.549
0.276 0.102 0.951

***

(2)
Rb2CaZn2O4 (PBE, relaxed); symmetry = C2/m (12)
1.0
-1.810 -0.381 3.000
5.446 -2.552 2.963
0.937 6.970 -0.621
Rb Ca Zn O
2 1 2 4
direct
0.126 0.528 0.251
0.874 0.472 0.749
0.000 0.000 0.000
0.671 0.975 0.342
0.329 0.025 0.658
0.204 0.142 0.408
0.796 0.858 0.592
0.530 0.790 0.060
0.470 0.210 0.940

***

(3)
Rb2CaZr3O8 (PBE, relaxed); symmetry = R3m (160)
1.0
-0.833 1.930 6.307
-4.865 -2.652 3.673
2.368 -5.190 5.405
Rb Ca Zr O
2 1 3 8
direct
0.139 0.139 0.583
0.492 0.492 0.525
0.974 0.974 0.079
0.493 0.989 0.026
0.989 0.493 0.026
0.493 0.493 0.026
0.272 0.272 0.183
0.710 0.710 0.870
0.215 0.215 0.880
0.690 0.215 0.880
0.215 0.690 0.880
0.753 0.307 0.188
0.307 0.753 0.188
0.753 0.753 0.188

***

(4)
Ca2ReO6 (PBE, relaxed); symmetry = P2_1/c (14)
1.0
-2.401 3.017 -4.082
1.710 -4.012 -3.971
-6.500 -4.531 1.777
Ca Re O
4 2 12
direct
0.956 0.416 0.772
0.544 0.916 0.728
0.456 0.084 0.272
0.044 0.584 0.228
0.500 0.500 0.000
0.000 0.000 0.500
0.833 0.908 0.296
0.873 0.745 0.605
0.769 0.669 0.951
0.731 0.169 0.549
0.627 0.245 0.895
0.667 0.408 0.204
0.167 0.092 0.704
0.127 0.255 0.395
0.231 0.331 0.049
0.269 0.831 0.451
0.373 0.755 0.105
0.333 0.592 0.796

***

(5)
Ca2ReO6 (PBE, relaxed); symmetry = P4_2/mnm (136)
1.0
-4.550 0.744 -2.169
-2.284 -1.045 4.433
0.398 9.720 2.497
Ca Re O
4 2 12
direct
0.000 0.000 0.332
0.500 0.500 0.832
0.500 0.500 0.168
0.000 0.000 0.668
0.000 0.000 0.000
0.500 0.500 0.500
0.319 0.319 0.364
0.681 0.681 0.364
0.181 0.819 0.864
0.819 0.181 0.864
0.181 0.819 0.136
0.819 0.181 0.136
0.319 0.319 0.636
0.681 0.681 0.636
0.264 0.264 0.000
0.736 0.736 0.000
0.236 0.764 0.500
0.764 0.236 0.500

***

(6)
Ca5Re2O12 (PBE, relaxed); symmetry = R-3c (167)
1.0
19.248 0.006 0.003
16.824 9.351 0.003
16.824 4.364 8.270
Ca Re O
30 12 72
direct
0.463 0.799 0.175
0.175 0.463 0.799
0.218 0.508 0.921
0.896 0.896 0.896
0.079 0.782 0.492
0.492 0.079 0.782
0.037 0.325 0.701
0.325 0.701 0.037
0.104 0.104 0.104
0.421 0.008 0.718
0.963 0.675 0.299
0.825 0.537 0.201
0.799 0.175 0.463
0.299 0.963 0.675
0.750 0.750 0.750
0.282 0.579 0.992
0.675 0.299 0.963
0.921 0.218 0.508
0.782 0.492 0.079
0.008 0.718 0.421
0.579 0.992 0.282
0.201 0.825 0.537
0.992 0.282 0.579
0.396 0.396 0.396
0.604 0.604 0.604
0.508 0.921 0.218
0.718 0.421 0.008
0.701 0.037 0.325
0.250 0.250 0.250
0.537 0.201 0.825
0.839 0.839 0.839
0.416 0.750 0.084
0.916 0.584 0.250
0.161 0.161 0.161
0.000 0.000 0.000
0.750 0.084 0.416
0.500 0.500 0.500
0.339 0.339 0.339
0.584 0.250 0.916
0.250 0.916 0.584
0.661 0.661 0.661
0.084 0.416 0.750
0.352 0.527 0.679
0.942 0.334 0.973
0.967 0.586 0.774
0.973 0.148 0.821
0.768 0.701 0.210
0.290 0.799 0.732
0.321 0.648 0.473
0.932 0.972 0.678
0.334 0.973 0.942
0.027 0.852 0.179
0.010 0.756 0.700
0.990 0.244 0.300
0.744 0.490 0.800
0.914 0.533 0.726
0.822 0.528 0.568
0.274 0.086 0.467
0.226 0.033 0.414
0.414 0.226 0.033
0.568 0.822 0.528
0.648 0.473 0.321
0.558 0.527 0.166
0.442 0.473 0.834
0.700 0.010 0.756
0.068 0.028 0.322
0.322 0.068 0.028
0.058 0.666 0.027
0.973 0.942 0.334
0.201 0.268 0.710
0.033 0.414 0.226
0.678 0.932 0.972
0.679 0.352 0.527
0.726 0.914 0.533
0.972 0.678 0.932
0.800 0.744 0.490
0.148 0.821 0.973
0.473 0.321 0.648
0.179 0.027 0.852
0.852 0.179 0.027
0.774 0.967 0.586
0.799 0.732 0.290
0.432 0.178 0.472
0.268 0.710 0.201
0.027 0.058 0.666
0.200 0.256 0.510
0.510 0.200 0.256
0.232 0.299 0.790
0.527 0.166 0.558
0.178 0.472 0.432
0.527 0.679 0.352
0.300 0.990 0.244
0.473 0.834 0.442
0.533 0.726 0.914
0.490 0.800 0.744
0.790 0.232 0.299
0.586 0.774 0.967
0.732 0.290 0.799
0.821 0.973 0.148
0.666 0.027 0.058
0.256 0.510 0.200
0.028 0.322 0.068
0.166 0.558 0.527
0.210 0.768 0.701
0.467 0.274 0.086
0.528 0.568 0.822
0.086 0.467 0.274
0.244 0.300 0.990
0.701 0.210 0.768
0.299 0.790 0.232
0.710 0.201 0.268
0.756 0.700 0.010
0.834 0.442 0.473
0.472 0.432 0.178

***

(7)
Ca2ReO (PBE, relaxed); symmetry = I-42d (122)
1.0
6.835 0.000 0.000
0.000 6.835 0.000
3.418 3.418 3.873
Re Ca O
2 4 2
direct
0.000 0.000 0.000
0.750 0.250 0.500
0.524 0.125 0.250
0.226 0.625 0.250
0.375 0.476 0.750
0.875 0.774 0.750
0.500 0.500 0.000
0.250 0.750 0.500

***

(8)
Ca4Re6O19 (PBE, relaxed); symmetry = I23 (197)
1.0
7.505 0.000 -2.653
-3.752 6.499 -2.653
0.000 0.000 7.960
Ca Re O
4 6 19
direct
0.000 0.000 0.721
0.000 0.721 0.000
0.279 0.279 0.279
0.721 0.000 0.000
0.364 0.500 0.864
0.636 0.500 0.136
0.136 0.636 0.500
0.864 0.364 0.500
0.500 0.864 0.364
0.500 0.136 0.636
0.672 0.000 0.672
0.328 0.000 0.328
0.328 0.328 0.000
0.672 0.672 0.000
0.000 0.672 0.672
0.000 0.328 0.328
0.000 0.000 0.000
0.361 0.298 0.642
0.639 0.282 0.937
0.655 0.718 0.358
0.937 0.639 0.282
0.345 0.702 0.063
0.642 0.361 0.298
0.063 0.345 0.702
0.358 0.655 0.718
0.702 0.063 0.345
0.282 0.937 0.639
0.298 0.642 0.361
0.718 0.358 0.655

***

(9)
CaReO6 (PBE, relaxed); symmetry = Fm-3m (225)
1.0
-1.830 5.686 -0.324
-1.906 2.236 -5.211
-5.801 1.235 -0.782
Ca Re O
1 1 6
direct
0.500 0.500 0.500
0.000 0.000 0.000
0.779 0.779 0.221
0.779 0.221 0.221
0.221 0.779 0.779
0.221 0.221 0.779
0.221 0.779 0.221
0.779 0.221 0.779

***

(10)
Ca6ReO12 (PBE, relaxed); symmetry = R-3 (148)
1.0
6.454 -0.326 -0.706
-0.751 6.419 -0.706
-0.305 -0.326 6.486
Ca Re O
6 1 12
direct
0.164 0.261 0.620
0.739 0.380 0.836
0.380 0.836 0.739
0.836 0.739 0.380
0.261 0.620 0.164
0.620 0.164 0.261
0.000 0.000 0.000
0.478 0.125 0.558
0.125 0.558 0.478
0.558 0.478 0.125
0.522 0.875 0.442
0.875 0.442 0.522
0.442 0.522 0.875
0.022 0.934 0.710
0.290 0.978 0.066
0.066 0.290 0.978
0.978 0.066 0.290
0.710 0.022 0.934
0.934 0.710 0.022

***

(11)
CaReO4 (PBE, relaxed); symmetry = Pbcn (60)
1.0
5.263 0.000 0.000
0.000 5.046 0.018
0.000 -0.048 12.646
Ca Re O
4 4 16
direct
0.000 0.750 0.841
0.500 0.250 0.659
0.000 0.250 0.159
0.500 0.750 0.341
0.500 0.250 0.919
0.000 0.750 0.581
0.500 0.750 0.081
0.000 0.250 0.419
0.703 0.955 0.957
0.203 0.045 0.543
0.297 0.045 0.043
0.797 0.955 0.457
0.297 0.545 0.957
0.797 0.455 0.543
0.703 0.455 0.043
0.203 0.545 0.457
0.712 0.394 0.820
0.212 0.606 0.680
0.288 0.606 0.180
0.788 0.394 0.320
0.289 0.106 0.819
0.789 0.894 0.681
0.711 0.894 0.181
0.211 0.106 0.319

***

(12)
Ca2ReRhO6 (PBE, relaxed); symmetry = P4mm (99)
1.0
4.196 0.000 0.000
0.000 5.517 0.000
0.000 0.000 5.517
Ca Re Rh O
2 1 1 6
direct
0.055 0.500 0.000
0.055 0.000 0.500
0.622 0.000 0.000
0.643 0.500 0.500
0.690 0.242 0.242
0.690 0.242 0.758
0.153 0.500 0.500
0.161 0.000 0.000
0.690 0.758 0.758
0.690 0.758 0.242

***

(13)
Ca2ReRuO6 (PBE, relaxed); symmetry = P4mm (99)
1.0
-1.720 0.789 -3.501
-0.186 -5.458 -1.138
-5.027 -0.328 2.396
Ca Re Ru O
2 1 1 6
direct
0.073 0.500 0.000
0.073 0.000 0.500
0.647 0.000 0.000
0.650 0.500 0.500
0.674 0.246 0.246
0.674 0.246 0.754
0.154 0.500 0.500
0.154 0.000 0.000
0.674 0.754 0.754
0.674 0.754 0.246

***

(14)
Ca2ScReO6 (PBE, relaxed); symmetry = Pnnm (58)
1.0
5.612 0.000 0.000
0.000 5.748 0.000
0.000 0.000 8.011
Ca Sc Re O
4 2 2 12
direct
0.000 0.448 0.244
0.000 0.552 0.756
0.500 0.948 0.256
0.500 0.052 0.744
0.000 0.000 0.000
0.500 0.500 0.500
0.000 0.000 0.500
0.500 0.500 0.000
0.500 0.517 0.244
0.500 0.483 0.756
0.000 0.017 0.256
0.000 0.983 0.744
0.245 0.241 0.503
0.245 0.759 0.497
0.745 0.741 0.997
0.745 0.259 0.003
0.255 0.259 0.003
0.255 0.741 0.997
0.755 0.759 0.497
0.755 0.241 0.503

***

no.,formation energy from raw total energies (meV per atom),raw total energy (eV for the cell shown)
1,-1564,-44.0
2,-1656,-41.2
3,-2884,-109.6
4,-2098,-130.2
5,-2108,-130.3
6,-2445,-845.1
7,-219,-44.6
8,-1984,-234.4
9,-1258,-54.3
10,-2166,-125.1
11,-2136,-188.4
12,-1753,-71.1
13,-1812,-73.6
14,-2558,-156.2